Density functional theory data (PBE) for crystalline Br at its relaxed geometry.

ΔE to the lowest computed polymorph: 144 meV/atom
uncorrected formation energy: 0.1 eV per formula unit

Cell: 4.6748 4.6748 4.6748 Å, 147.87 135.25 56.15°
Positions (direct):
1 Br 0.0000 0.0000 0.0000

***

Density functional theory data (PBE) for crystalline Br at its relaxed geometry.

ΔE to the lowest computed polymorph: 22 meV/atom
uncorrected formation energy: 0.0 eV per formula unit

Cell: 8.2860 12.1444 5.8413 Å, 90.00 90.00 90.00°
Positions (direct):
1 Br 0.2500 0.0412 0.0306
2 Br 0.2500 0.2500 0.0856
3 Br 0.2500 0.4588 0.0306
4 Br 0.2500 0.5914 0.3664
5 Br 0.2500 0.7500 0.6611
6 Br 0.2500 0.9086 0.3664
7 Br 0.7500 0.0914 0.6336
8 Br 0.7500 0.2500 0.3389
9 Br 0.7500 0.4086 0.6336
10 Br 0.7500 0.5412 0.9694
11 Br 0.7500 0.7500 0.9144
12 Br 0.7500 0.9588 0.9694

***

Density functional theory data (PBE) for crystalline Br at its relaxed geometry.

ΔE to the lowest computed polymorph: 46 meV/atom
uncorrected formation energy: 0.0 eV per formula unit

Cell: 4.6445 4.6573 4.8946 Å, 97.74 98.16 119.84°
Positions (direct):
1 Br 0.0529 0.4633 0.2522
2 Br 0.9471 0.5367 0.7478

***

Density functional theory data (PBE) for crystalline Br at its relaxed geometry.

ΔE to the lowest computed polymorph: 86 meV/atom
uncorrected formation energy: 0.1 eV per formula unit

Cell: 7.0106 7.0106 7.0106 Å, 97.12 97.12 138.77°
Positions (direct):
1 Br 0.2231 0.2231 0.4462
2 Br 0.2231 0.7769 0.0000
3 Br 0.7769 0.2231 0.0000
4 Br 0.7769 0.7769 0.5538

***

Density functional theory data (PBE) for crystalline Br at its relaxed geometry.

ΔE to the lowest computed polymorph: 668 meV/atom
uncorrected formation energy: 0.7 eV per formula unit

Cell: 3.2866 3.2866 3.2866 Å, 109.47 109.47 109.47°
Positions (direct):
1 Br 0.0000 0.0000 0.0000

***

Density functional theory data (PBE) for crystalline Br at its relaxed geometry.

ΔE to the lowest computed polymorph: 4 meV/atom
uncorrected formation energy: 0.0 eV per formula unit

Cell: 4.6421 4.6421 8.1936 Å, 90.00 90.00 68.78°
Positions (direct):
1 Br 0.0000 0.0000 0.0000
2 Br 0.0000 0.0000 0.5000
3 Br 0.2931 0.7069 0.7500
4 Br 0.7069 0.2931 0.2500

***

Density functional theory data (PBE) for crystalline Br at its relaxed geometry.

ΔE to the lowest computed polymorph: 101 meV/atom
uncorrected formation energy: 0.1 eV per formula unit

Cell: 12.6527 12.6527 4.4512 Å, 90.00 90.00 120.00°
Positions (direct):
1 Br 0.1087 0.4122 0.2500
2 Br 0.1744 0.6760 0.2500
3 Br 0.3035 0.8913 0.2500
4 Br 0.3240 0.4984 0.2500
5 Br 0.4122 0.3035 0.7500
6 Br 0.4984 0.1744 0.7500
7 Br 0.5016 0.8256 0.2500
8 Br 0.5878 0.6965 0.2500
9 Br 0.6760 0.5016 0.7500
10 Br 0.6965 0.1087 0.7500
11 Br 0.8256 0.3240 0.7500
12 Br 0.8913 0.5878 0.7500

***

Density functional theory data (PBE) for crystalline Br at its relaxed geometry.

ΔE to the lowest computed polymorph: 391 meV/atom
uncorrected formation energy: 0.4 eV per formula unit

Cell: 4.9091 4.9091 8.8476 Å, 90.00 90.00 120.00°
Positions (direct):
1 Br 0.0000 0.0000 0.2500
2 Br 0.0000 0.0000 0.7500
3 Br 0.3333 0.6667 0.2500
4 Br 0.6667 0.3333 0.7500

***

Density functional theory data (PBE) for crystalline Br at its relaxed geometry.

ΔE to the lowest computed polymorph: 88 meV/atom
uncorrected formation energy: 0.1 eV per formula unit

Cell: 4.6211 4.6211 7.4020 Å, 90.00 90.00 120.00°
Positions (direct):
1 Br 0.0000 0.9133 0.1667
2 Br 0.0867 0.0867 0.5000
3 Br 0.9133 0.0000 0.8333

***

Density functional theory data (PBE) for crystalline Br at its relaxed geometry.

ΔE to the lowest computed polymorph: 4 meV/atom
uncorrected formation energy: 0.0 eV per formula unit

Cell: 4.6324 5.1736 7.6395 Å, 82.90 79.48 77.68°
Positions (direct):
1 Br 0.0000 0.0000 0.0000
2 Br 0.1841 0.3061 0.7323
3 Br 0.5000 0.0000 0.5000
4 Br 0.8159 0.6939 0.2677

***

Density functional theory data (PBE) for crystalline Br at its relaxed geometry.

ΔE to the lowest computed polymorph: 157 meV/atom
uncorrected formation energy: 0.2 eV per formula unit

Cell: 8.6270 8.6270 8.6270 Å, 109.47 109.47 109.47°
Positions (direct):
1 Br 0.0000 0.0000 0.2695
2 Br 0.0000 0.0000 0.5379
3 Br 0.0000 0.2695 0.0000
4 Br 0.0000 0.5379 0.0000
5 Br 0.2695 0.0000 0.0000
6 Br 0.4621 0.4621 0.4621
7 Br 0.5379 0.0000 0.0000
8 Br 0.7305 0.7305 0.7305

***

Density functional theory data (PBE) for crystalline Br at its relaxed geometry.

ΔE to the lowest computed polymorph: 635 meV/atom
uncorrected formation energy: 0.6 eV per formula unit

Cell: 4.5558 4.5558 4.5558 Å, 90.00 90.00 90.00°
Positions (direct):
1 Br 0.0000 0.0000 0.5000
2 Br 0.0000 0.5000 0.0000
3 Br 0.5000 0.0000 0.0000